Model one:
# PBE InTcP2S, optimized geometry
data_InTcP2S
_chemical_formula_sum 'In1 Tc1 P2 S1'
_space_group_name_H-M_alt 'P 4/m m m'
_space_group_IT_number 123
_space_group_name_Hall '-P 4 2'
_cell_length_a 4.870
_cell_length_b 4.870
_cell_length_c 4.881
_cell_angle_alpha 90.00
_cell_angle_beta 90.00
_cell_angle_gamma 90.00
loop_
_atom_site_label
_atom_site_fract_x
_atom_site_fract_y
_atom_site_fract_z
In1 0.000 0.000 0.000
Tc1 0.500 0.500 0.500
P1 0.000 0.500 0.000
S1 0.000 0.000 0.500
# Spin magnetization ... 0.01 μB per atom

***

Model two:
# PBE InTcP2S, optimized geometry
data_InTcP2S
_chemical_formula_sum 'In1 Tc1 P2 S1'
_space_group_name_H-M_alt 'P 4/m m m'
_space_group_IT_number 123
_space_group_name_Hall '-P 4 2'
_cell_length_a 4.580
_cell_length_b 4.580
_cell_length_c 5.655
_cell_angle_alpha 90.00
_cell_angle_beta 90.00
_cell_angle_gamma 90.00
loop_
_atom_site_label
_atom_site_fract_x
_atom_site_fract_y
_atom_site_fract_z
In1 0.000 0.000 0.000
Tc1 0.500 0.500 0.500
P1 0.000 0.500 0.500
S1 0.500 0.500 0.000
# Spin magnetization ... 0.00 μB per atom

***

In order of decreasing stability: model two, model one.

***

Model one:
# PBE VInPS2, optimized geometry
data_VInPS2
_chemical_formula_sum 'V1 In1 P1 S2'
_space_group_name_H-M_alt 'P 4/m m m'
_space_group_IT_number 123
_space_group_name_Hall '-P 4 2'
_cell_length_a 4.578
_cell_length_b 4.578
_cell_length_c 4.785
_cell_angle_alpha 90.00
_cell_angle_beta 90.00
_cell_angle_gamma 90.00
loop_
_atom_site_label
_atom_site_fract_x
_atom_site_fract_y
_atom_site_fract_z
V1 0.000 0.000 0.000
In1 0.500 0.500 0.500
P1 0.000 0.000 0.500
S1 0.000 0.500 0.000
# Spin magnetization ... 0.00 μB per atom

***

Model two:
# PBE VInPS2, optimized geometry
data_VInPS2
_chemical_formula_sum 'V1 In1 P1 S2'
_space_group_name_H-M_alt 'P 4/m m m'
_space_group_IT_number 123
_space_group_name_Hall '-P 4 2'
_cell_length_a 4.994
_cell_length_b 4.994
_cell_length_c 4.928
_cell_angle_alpha 90.00
_cell_angle_beta 90.00
_cell_angle_gamma 90.00
loop_
_atom_site_label
_atom_site_fract_x
_atom_site_fract_y
_atom_site_fract_z
V1 0.000 0.000 0.000
In1 0.500 0.500 0.500
P1 0.500 0.500 0.000
S1 0.000 0.500 0.500
# Spin magnetization ... 0.42 μB per atom

***

In order of decreasing stability: model one, model two.